[1]
# Li4ZnGe, relaxed, DFT PBE-GGA
# - Fermi-level density of states (states/eV per cell) = 3.14
# - formation energy (eV per atom) = -0.2668
# - excess energy over the best structure of this formula in the dataset (kJ/mol of formula units) = 0
data_Li4ZnGe
_symmetry_space_group_name_H-M 'C 1 2 1'
_symmetry_Int_Tables_number 5
_cell_length_a 7.6420
_cell_length_b 4.4122
_cell_length_c 5.2562
_cell_angle_alpha 90.00
_cell_angle_beta 90.00
_cell_angle_gamma 90.00
loop_
_symmetry_equiv_pos_as_xyz
'x,y,z'
'-x,y,-z'
'x+1/2,y+1/2,z'
'-x+1/2,y+1/2,-z'
loop_
_atom_site_label
_atom_site_type_symbol
_atom_site_fract_x
_atom_site_fract_y
_atom_site_fract_z
_atom_site_occupancy
Li1 Li 0.1665 0.0000 0.2622 1
Li2 Li 0.1668 0.0000 0.7390 1
Zn1 Zn 0.0000 0.4994 0.0000 1
Ge1 Ge 0.0000 0.5005 0.5000 1

=====

[2]
# Li3ZnGe4, relaxed, DFT PBE-GGA
# - Fermi-level density of states (states/eV per cell) = 3.03
# - formation energy (eV per atom) = -0.1108
data_Li3ZnGe4
_symmetry_space_group_name_H-M 'I m m m'
_symmetry_Int_Tables_number 71
_symmetry_space_group_name_Hall '-I 2 2'
_cell_length_a 3.0618
_cell_length_b 8.6110
_cell_length_c 10.5315
_cell_angle_alpha 90.00
_cell_angle_beta 90.00
_cell_angle_gamma 90.00
loop_
_atom_site_label
_atom_site_type_symbol
_atom_site_fract_x
_atom_site_fract_y
_atom_site_fract_z
_atom_site_occupancy
Li1 Li 0.0000 0.0000 0.0000 1
Li2 Li 0.0000 0.5000 0.2166 1
Zn1 Zn 0.0000 0.0000 0.5000 1
Ge1 Ge 0.0000 0.2524 0.3619 1

=====

[3]
# Li8Zn2Ge3, relaxed, DFT PBE-GGA
# - Fermi-level density of states (states/eV per cell) = 12.32
# - formation energy (eV per atom) = -0.3478
data_Li8Zn2Ge3
_symmetry_space_group_name_H-M 'R -3 c'
_symmetry_Int_Tables_number 167
_symmetry_space_group_name_Hall '-R 3 2"c'
_cell_length_a 7.5339
_cell_length_b 7.5339
_cell_length_c 24.4092
_cell_angle_alpha 90.00
_cell_angle_beta 90.00
_cell_angle_gamma 120.00
loop_
_atom_site_label
_atom_site_type_symbol
_atom_site_fract_x
_atom_site_fract_y
_atom_site_fract_z
_atom_site_occupancy
Li1 Li 0.0000 0.0000 0.1990 1
Li2 Li 0.0030 0.3548 0.1957 1
Zn1 Zn 0.0000 0.0000 0.0815 1
Ge1 Ge 0.0000 0.3226 0.7500 1

=====

[4]
# LiZn2Ge2, relaxed, DFT PBE-GGA
# - Fermi-level density of states (states/eV per cell) = 1.85
# - formation energy (eV per atom) = -0.0732
# - excess energy over the best structure of this formula in the dataset (kJ/mol of formula units) = 0
data_LiZn2Ge2
_symmetry_space_group_name_H-M 'I 4/m m m'
_symmetry_Int_Tables_number 139
_symmetry_space_group_name_Hall '-I 4 2'
_cell_length_a 4.1492
_cell_length_b 4.1492
_cell_length_c 10.8423
_cell_angle_alpha 90.00
_cell_angle_beta 90.00
_cell_angle_gamma 90.00
loop_
_atom_site_label
_atom_site_type_symbol
_atom_site_fract_x
_atom_site_fract_y
_atom_site_fract_z
_atom_site_occupancy
Li1 Li 0.0000 0.0000 0.0000 1
Zn1 Zn 0.0000 0.5000 0.2500 1
Ge1 Ge 0.0000 0.0000 0.3882 1

=====

[5]
# LiZr3Ge, relaxed, DFT PBE-GGA
# - Fermi-level density of states (states/eV per cell) = 5.94
# - formation energy (eV per atom) = 0.3852
# - excess energy over the best structure of this formula in the dataset (kJ/mol of formula units) = 0
data_LiZr3Ge
_symmetry_space_group_name_H-M 'P m -3 m'
_symmetry_Int_Tables_number 221
_symmetry_space_group_name_Hall '-P 4 2 3'
_cell_length_a 5.0965
_cell_length_b 5.0965
_cell_length_c 5.0965
_cell_angle_alpha 90.00
_cell_angle_beta 90.00
_cell_angle_gamma 90.00
loop_
_atom_site_label
_atom_site_type_symbol
_atom_site_fract_x
_atom_site_fract_y
_atom_site_fract_z
_atom_site_occupancy
Li1 Li 0.0000 0.0000 0.0000 1
Zr1 Zr 0.0000 0.5000 0.5000 1
Ge1 Ge 0.5000 0.5000 0.5000 1

=====

[6]
# Li3ZrGe, relaxed, DFT PBE-GGA
# - Fermi-level density of states (states/eV per cell) = 3.67
# - formation energy (eV per atom) = 0.3716
# - excess energy over the best structure of this formula in the dataset (kJ/mol of formula units) = 0
data_Li3ZrGe
_symmetry_space_group_name_H-M 'P m -3 m'
_symmetry_Int_Tables_number 221
_symmetry_space_group_name_Hall '-P 4 2 3'
_cell_length_a 4.5035
_cell_length_b 4.5035
_cell_length_c 4.5035
_cell_angle_alpha 90.00
_cell_angle_beta 90.00
_cell_angle_gamma 90.00
loop_
_atom_site_label
_atom_site_type_symbol
_atom_site_fract_x
_atom_site_fract_y
_atom_site_fract_z
_atom_site_occupancy
Li1 Li 0.0000 0.0000 0.5000 1
Zr1 Zr 0.5000 0.5000 0.5000 1
Ge1 Ge 0.0000 0.0000 0.0000 1

=====

[7]
# Li2ZrGe2, relaxed, DFT PBE-GGA
# - Fermi-level density of states (states/eV per cell) = 2.55
# - formation energy (eV per atom) = -0.4326
# - excess energy over the best structure of this formula in the dataset (kJ/mol of formula units) = 0
data_Li2ZrGe2
_symmetry_space_group_name_H-M 'I 4/m m m'
_symmetry_Int_Tables_number 139
_symmetry_space_group_name_Hall '-I 4 2'
_cell_length_a 3.7945
_cell_length_b 3.7945
_cell_length_c 11.6107
_cell_angle_alpha 90.00
_cell_angle_beta 90.00
_cell_angle_gamma 90.00
loop_
_atom_site_label
_atom_site_type_symbol
_atom_site_fract_x
_atom_site_fract_y
_atom_site_fract_z
_atom_site_occupancy
Li1 Li 0.0000 0.5000 0.2500 1
Zr1 Zr 0.0000 0.0000 0.0000 1
Ge1 Ge 0.0000 0.0000 0.3951 1

=====

[8]
# Li2ZrGe2, relaxed, DFT PBE-GGA
# - Fermi-level density of states (states/eV per cell) = 3.64
# - formation energy (eV per atom) = -0.3473
# - excess energy over the best structure of this formula in the dataset (kJ/mol of formula units) = 41
data_Li2ZrGe2
_symmetry_space_group_name_H-M 'P 4/m b m'
_symmetry_Int_Tables_number 127
_symmetry_space_group_name_Hall '-P 4 2ab'
_cell_length_a 7.4980
_cell_length_b 7.4980
_cell_length_c 2.8764
_cell_angle_alpha 90.00
_cell_angle_beta 90.00
_cell_angle_gamma 90.00
loop_
_atom_site_label
_atom_site_type_symbol
_atom_site_fract_x
_atom_site_fract_y
_atom_site_fract_z
_atom_site_occupancy
Li1 Li 0.1124 0.3876 0.0000 1
Zr1 Zr 0.0000 0.0000 0.0000 1
Ge1 Ge 0.1835 0.6835 0.5000 1

=====

[9]
# LiZrGe, relaxed, DFT PBE-GGA
# - Fermi-level density of states (states/eV per cell) = 3.11
# - formation energy (eV per atom) = -0.6105
data_LiZrGe
_symmetry_space_group_name_H-M 'P 4/n m m'
_symmetry_Int_Tables_number 129
_cell_length_a 3.8042
_cell_length_b 3.8042
_cell_length_c 7.3599
_cell_angle_alpha 90.00
_cell_angle_beta 90.00
_cell_angle_gamma 90.00
loop_
_symmetry_equiv_pos_as_xyz
'x,y,z'
'-x,-y,-z'
'-y+1/2,x,z'
'y+1/2,-x,-z'
'-x+1/2,-y+1/2,z'
'x+1/2,y+1/2,-z'
'y,-x+1/2,z'
'-y,x+1/2,-z'
'x+1/2,-y,-z'
'-x+1/2,y,z'
'-y,-x,-z'
'y,x,z'
'-x,y+1/2,-z'
'x,-y+1/2,z'
'y+1/2,x+1/2,-z'
'-y+1/2,-x+1/2,z'
loop_
_atom_site_label
_atom_site_type_symbol
_atom_site_fract_x
_atom_site_fract_y
_atom_site_fract_z
_atom_site_occupancy
Li1 Li 0.2500 0.7500 0.0000 1
Zr1 Zr 0.2500 0.2500 0.3657 1
Ge1 Ge 0.2500 0.2500 0.7467 1

=====

[10]
# Li2ZrGe2, relaxed, DFT PBE-GGA
# - Fermi-level density of states (states/eV per cell) = 4.13
# - formation energy (eV per atom) = -0.2903
# - excess energy over the best structure of this formula in the dataset (kJ/mol of formula units) = 69
data_Li2ZrGe2
_symmetry_space_group_name_H-M 'P 4/m b m'
_symmetry_Int_Tables_number 127
_symmetry_space_group_name_Hall '-P 4 2ab'
_cell_length_a 7.6260
_cell_length_b 7.6260
_cell_length_c 2.9837
_cell_angle_alpha 90.00
_cell_angle_beta 90.00
_cell_angle_gamma 90.00
loop_
_atom_site_label
_atom_site_type_symbol
_atom_site_fract_x
_atom_site_fract_y
_atom_site_fract_z
_atom_site_occupancy
Li1 Li 0.1270 0.3730 0.0000 1
Zr1 Zr 0.0000 0.0000 0.5000 1
Ge1 Ge 0.1716 0.6716 0.5000 1

=====

[11]
# Li2ZrGe, relaxed, DFT PBE-GGA
# - Fermi-level density of states (states/eV per cell) = 12.04
# - formation energy (eV per atom) = -0.1581
data_Li2ZrGe
_symmetry_space_group_name_H-M 'I -4 2 d'
_symmetry_Int_Tables_number 122
_symmetry_space_group_name_Hall 'I -4 2bw'
_cell_length_a 3.8404
_cell_length_b 3.8404
_cell_length_c 20.8966
_cell_angle_alpha 90.00
_cell_angle_beta 90.00
_cell_angle_gamma 90.00
loop_
_atom_site_label
_atom_site_type_symbol
_atom_site_fract_x
_atom_site_fract_y
_atom_site_fract_z
_atom_site_occupancy
Li1 Li 0.2206 0.2500 0.1250 1
Zr1 Zr 0.0000 0.0000 0.5000 1
Ge1 Ge 0.0000 0.0000 0.0000 1

=====

[12]
# Li3ZrGe, relaxed, DFT PBE-GGA
# - Fermi-level density of states (states/eV per cell) = 4.44
# - formation energy (eV per atom) = 1.2771
# - excess energy over the best structure of this formula in the dataset (kJ/mol of formula units) = 437
data_Li3ZrGe
_symmetry_space_group_name_H-M 'P m -3 m'
_symmetry_Int_Tables_number 221
_symmetry_space_group_name_Hall '-P 4 2 3'
_cell_length_a 5.0812
_cell_length_b 5.0812
_cell_length_c 5.0812
_cell_angle_alpha 90.00
_cell_angle_beta 90.00
_cell_angle_gamma 90.00
loop_
_atom_site_label
_atom_site_type_symbol
_atom_site_fract_x
_atom_site_fract_y
_atom_site_fract_z
_atom_site_occupancy
Li1 Li 0.0000 0.0000 0.5000 1
Zr1 Zr 0.0000 0.0000 0.0000 1
Ge1 Ge 0.5000 0.5000 0.5000 1